Entry 1:
# Sc2PbCl | Alexandria via LeMat-Bulk | PBE | optimized geometry
# Polymorph energy (0 for the lowest one) (meV/atom): 172
# D(E_F) (states/eV per cell): 7.35
# Crystal system: orthorhombic
# Formation energy from raw total energies (meV/atom): -624
data_Sc2PbCl
_chemical_formula_sum 'Sc4 Pb2 Cl2'
_cell_length_a 3.3956
_cell_length_b 5.9398
_cell_length_c 9.2528
_cell_angle_alpha 90.00
_cell_angle_beta 90.00
_cell_angle_gamma 90.00
_symmetry_space_group_name_H-M 'C m m m'
_symmetry_Int_Tables_number 65
_symmetry_space_group_name_Hall '-C 2 2'
loop_
_atom_site_label
_atom_site_fract_x
_atom_site_fract_y
_atom_site_fract_z
Sc1 0.0000 0.0000 0.2275
Pb1 0.0000 0.5000 0.5000
Cl1 0.0000 0.5000 0.0000

***

Entry 2:
# Sc2PbCl | Alexandria via LeMat-Bulk | PBE | optimized geometry
# Polymorph energy (0 for the lowest one) (meV/atom): 0
# D(E_F) (states/eV per cell): 3.83
# Crystal system: orthorhombic
# Formation energy from raw total energies (meV/atom): -796
data_Sc2PbCl
_chemical_formula_sum 'Sc4 Pb2 Cl2'
_cell_length_a 4.9290
_cell_length_b 3.4288
_cell_length_c 11.1783
_cell_angle_alpha 90.00
_cell_angle_beta 90.00
_cell_angle_gamma 90.00
_symmetry_space_group_name_H-M 'A m m 2'
_symmetry_Int_Tables_number 38
loop_
_symmetry_equiv_pos_as_xyz
'x,y,z'
'-x,-y,z'
'-x,y,z'
'x,-y,z'
'x,y+1/2,z+1/2'
'-x,-y+1/2,z+1/2'
'-x,y+1/2,z+1/2'
'x,-y+1/2,z+1/2'
loop_
_atom_site_label
_atom_site_fract_x
_atom_site_fract_y
_atom_site_fract_z
Sc1 0.0000 0.0000 0.0000
Sc2 0.5000 0.0000 0.3290
Pb1 0.0000 0.0000 0.7335
Cl1 0.5000 0.0000 0.0078

***

Entry 3:
# Sc2PbCl | Alexandria via LeMat-Bulk | PBE | optimized geometry
# Polymorph energy (0 for the lowest one) (meV/atom): 219
# D(E_F) (states/eV per cell): 3.89
# Crystal system: tetragonal
# Formation energy from raw total energies (meV/atom): -577
data_Sc2PbCl
_chemical_formula_sum 'Sc2 Pb1 Cl1'
_cell_length_a 3.3313
_cell_length_b 3.3313
_cell_length_c 7.7272
_cell_angle_alpha 90.00
_cell_angle_beta 90.00
_cell_angle_gamma 90.00
_symmetry_space_group_name_H-M 'P 4/m m m'
_symmetry_Int_Tables_number 123
_symmetry_space_group_name_Hall '-P 4 2'
loop_
_atom_site_label
_atom_site_fract_x
_atom_site_fract_y
_atom_site_fract_z
Sc1 0.0000 0.0000 0.2357
Pb1 0.5000 0.5000 0.5000
Cl1 0.5000 0.5000 0.0000

***

Number 1: magnetic moment 0.26 μB per cell. Number 2: magnetic moment 0.00 μB per cell. Number 3: magnetic moment 0.03 μB per cell.